(1)
A plane-wave DFT calculation with PBE was carried out for crystalline NaCuAs at its relaxed geometry.

Summary:
For the total energy, the calculation gives -3.26 eV/atom.

Structure (extended XYZ):
```
3
Lattice="0.0000 3.0276 3.0276 3.0276 0.0000 3.0276 3.0276 3.0276 0.0000" Properties=species:S:1:pos:R:3 pbc="T T T"
Na 0.0000 0.0000 0.0000
Cu 4.5414 4.5414 4.5414
As 3.0276 3.0276 3.0276
```

---

(2)
A plane-wave DFT calculation with PBE was carried out for crystalline CdHgBr4 at its relaxed geometry.

Summary:
For the total energy, the calculation gives -1.95 eV/atom.

Structure (extended XYZ):
```
6
Lattice="4.2434 0.0000 0.0000 0.0000 4.2434 0.0000 0.0000 0.0000 12.3441" Properties=species:S:1:pos:R:3 pbc="T T T"
Cd 0.0000 0.0000 0.0000
Hg 2.1217 2.1217 6.1720
Br 0.0000 2.1217 1.5949
Br 0.0000 2.1217 7.8059
Br 2.1217 0.0000 4.5382
Br 2.1217 0.0000 10.7491
```

---

(3)
A plane-wave DFT calculation with PBE was carried out for crystalline Er3In3Cu2Ni at its relaxed geometry.

Summary:
For the total energy, the calculation gives -4.32 eV/atom. The calculation puts the spin magnetization at 0.00 Bohr magnetons per cell.

Structure (extended XYZ):
```
9
Lattice="7.4405 0.0000 0.0000 -3.7203 6.4437 0.0000 0.0000 0.0000 3.8467" Properties=species:S:1:pos:R:3 pbc="T T T"
Er -2.2034 3.8163 0.0000
Er 1.5169 2.6274 0.0000
Er 4.4067 0.0000 0.0000
In -0.9407 1.6293 1.9234
In 1.8814 0.0000 1.9234
In 2.7796 4.8143 1.9234
Cu 0.0000 4.2958 1.9234
Cu 3.7203 2.1479 1.9234
Ni 0.0000 0.0000 0.0000
```

---

(4)
A plane-wave DFT calculation with PBE was carried out for crystalline GdNpAl at its relaxed geometry.

Summary:
The energy above the lowest structure with this stoichiometry comes out at 0 meV/atom. The calculation puts the spin magnetization at 5.00 Bohr magnetons per cell.

Structure (extended XYZ):
```
3
Lattice="0.0000 3.4671 3.4671 3.4671 0.0000 3.4671 3.4671 3.4671 0.0000" Properties=species:S:1:pos:R:3 pbc="T T T"
Gd 0.0000 0.0000 0.0000
Np 3.4671 3.4671 3.4671
Al 1.7335 1.7335 1.7335
```

---

(5)
A plane-wave DFT calculation with PBE was carried out for crystalline YSnAu2 at its relaxed geometry.

Summary:
For the total energy, the calculation gives -4.85 eV/atom. The calculation puts the spin magnetization at 0.00 Bohr magnetons per cell.

Structure (extended XYZ):
```
4
Lattice="4.6003 0.0000 0.0000 0.0000 4.6003 0.0000 0.0000 0.0000 4.1469" Properties=species:S:1:pos:R:3 pbc="T T T"
Y 0.0000 0.0000 0.0000
Sn 2.3002 2.3002 0.0000
Au 0.0000 2.3002 2.0734
Au 2.3002 0.0000 2.0734
```

---

(6)
A plane-wave DFT calculation with PBE was carried out for crystalline TePd3O6 at its relaxed geometry.

Summary:
For the total energy, the calculation gives -5.21 eV/atom.

Structure (extended XYZ):
```
10
Lattice="2.6941 1.5555 4.8814 -2.6941 1.5555 4.8814 0.0000 -3.1109 4.8814" Properties=species:S:1:pos:R:3 pbc="T T T"
Te 0.0000 0.0000 0.0000
Pd 0.0000 0.0000 2.9021
Pd 0.0000 0.0000 7.3385
Pd 0.0000 0.0000 10.2546
O -0.8360 -1.6824 6.3985
O -1.6820 -0.0438 8.8304
O -1.0389 1.5652 6.3985
O 0.8789 -1.4348 8.8304
O 1.8750 0.1171 6.3985
O 0.8031 1.4786 8.8304
```

---

(7)
A plane-wave DFT calculation with PBE was carried out for crystalline BaTmGe2 at its relaxed geometry.

Summary:
For the total energy, the calculation gives -3.74 eV/atom. The calculation puts the spin magnetization at 0.01 Bohr magnetons per cell.

Structure (extended XYZ):
```
4
Lattice="3.3544 0.0000 0.0000 0.0000 3.1105 5.9564 0.0000 -3.1105 5.9564" Properties=species:S:1:pos:R:3 pbc="T T T"
Ba 0.0000 0.0000 0.0000
Tm 0.0000 0.0000 8.4369
Ge 0.0000 0.0000 3.2098
Ge 0.0000 0.0000 5.6828
```

---

(8)
A plane-wave DFT calculation with PBE was carried out for crystalline YErCBr2 at its relaxed geometry.

Summary:
For the total energy, the calculation gives -6.03 eV/atom. The calculation puts the spin magnetization at 0.01 Bohr magnetons per cell.

Structure (extended XYZ):
```
5
Lattice="3.7442 0.0000 0.0000 -1.8721 3.2425 0.0000 0.0000 0.0000 10.4053" Properties=species:S:1:pos:R:3 pbc="T T T"
Y 0.0000 0.0000 0.0000
Er 1.8721 1.0808 7.7516
C 0.0000 2.1617 9.0585
Br 0.0000 0.0000 5.8357
Br 1.8721 1.0808 1.9435
```

---

(9)
A plane-wave DFT calculation with PBE was carried out for crystalline Zn at its relaxed geometry.

Summary:
The energy above the lowest structure with this stoichiometry comes out at 9 meV/atom. As for the calculated formation energy: 0.009 eV per formula unit.

Structure (extended XYZ):
```
2
Lattice="1.3531 -2.3192 0.0000 1.3531 2.3192 0.0000 0.0000 0.0000 4.6198" Properties=species:S:1:pos:R:3 pbc="T T T"
Zn 1.3531 1.5467 3.4649
Zn 1.3531 -1.5467 1.1550
```

---

(10)
A plane-wave DFT calculation with PBE was carried out for crystalline Sc2GaTc at its relaxed geometry.

Summary:
For the total energy, the calculation gives -6.35 eV/atom. The calculation puts the spin magnetization at 0.08 Bohr magnetons per cell.

Structure (extended XYZ):
```
8
Lattice="4.5725 0.0000 0.0000 -2.2862 3.9599 0.0000 0.0000 0.0000 8.6728" Properties=species:S:1:pos:R:3 pbc="T T T"
Sc 0.0000 2.6399 0.6938
Sc 0.0000 2.6399 3.6426
Sc 2.2862 1.3200 5.0302
Sc 2.2862 1.3200 7.9790
Ga 0.0000 2.6399 6.5046
Ga 2.2862 1.3200 2.1682
Tc 0.0000 0.0000 0.0000
Tc 0.0000 0.0000 4.3364
```

---

(11)
A plane-wave DFT calculation with PBE was carried out for crystalline ScBeZnGa at its relaxed geometry.

Summary:
The energy above the lowest structure with this stoichiometry comes out at 12 meV/atom. The calculation puts the spin magnetization at 0.00 Bohr magnetons per cell.

Structure (extended XYZ):
```
4
Lattice="0.0000 3.1092 3.1092 3.1092 0.0000 3.1092 3.1092 3.1092 0.0000" Properties=species:S:1:pos:R:3 pbc="T T T"
Sc 0.0000 0.0000 0.0000
Be 4.6638 4.6638 4.6638
Zn 3.1092 3.1092 3.1092
Ga 1.5546 1.5546 1.5546
```

---

(12)
A plane-wave DFT calculation with PBE was carried out for crystalline BaAgNO at its relaxed geometry.

Summary:
The energy above the lowest structure with this stoichiometry comes out at 125 meV/atom.

Structure (extended XYZ):
```
8
Lattice="4.1111 0.0000 0.0000 0.0000 5.9279 0.0000 0.0000 0.0000 6.0418" Properties=species:S:1:pos:R:3 pbc="T T T"
Ba 0.0000 1.3010 0.0000
Ba 0.0000 4.6270 3.0209
Ag 2.0555 1.4913 3.0607
Ag 2.0555 4.4367 0.0398
N 2.0555 0.0473 1.5191
N 2.0555 5.8806 4.5400
O 0.0000 1.9840 3.1373
O 0.0000 3.9439 0.1165
```

---

(13)
A plane-wave DFT calculation with PBE was carried out for crystalline CdCoTcGe at its relaxed geometry.

Summary:
The energy above the lowest structure with this stoichiometry comes out at 0 meV/atom. The calculation puts the spin magnetization at 0.74 Bohr magnetons per cell.

Structure (extended XYZ):
```
4
Lattice="0.0000 3.0910 3.0910 3.0910 0.0000 3.0910 3.0910 3.0910 0.0000" Properties=species:S:1:pos:R:3 pbc="T T T"
Cd 0.0000 0.0000 0.0000
Co 4.6365 4.6365 4.6365
Tc 1.5455 1.5455 1.5455
Ge 3.0910 3.0910 3.0910
```

---

(14)
A plane-wave DFT calculation with PBE was carried out for crystalline Cu7Ag3 at its relaxed geometry.

Summary:
The energy above the lowest structure with this stoichiometry comes out at 39 meV/atom. As for the calculated formation energy: 0.838 eV per formula unit.

Structure (extended XYZ):
```
10
Lattice="4.4502 -1.3639 0.0000 4.4502 1.3639 0.0000 -2.1510 0.0000 11.3423" Properties=species:S:1:pos:R:3 pbc="T T T"
Cu 0.0000 0.0000 0.0000
Cu -0.4778 0.0000 7.5744
Cu 2.5288 0.0000 1.1122
Cu 3.4042 0.0000 5.4930
Cu 4.9899 0.0000 2.0276
Cu 5.9125 0.0000 6.5563
Cu 7.5013 0.0000 3.1705
Ag 0.9975 0.0000 4.3038
Ag 1.9567 0.0000 8.8090
Ag 4.3333 0.0000 10.1626
```

---

(15)
A plane-wave DFT calculation with PBE was carried out for crystalline Zn2Ni3Sn2 at its relaxed geometry.

Summary:
For the total energy, the calculation gives -4.11 eV/atom. The calculation puts the spin magnetization at 0.00 Bohr magnetons per cell.

Structure (extended XYZ):
```
7
Lattice="2.1271 1.2281 6.8467 -2.1271 1.2281 6.8467 0.0000 -2.4562 6.8467" Properties=species:S:1:pos:R:3 pbc="T T T"
Zn 0.0000 0.0000 0.0000
Zn 0.0000 0.0000 10.1114
Ni 0.0000 0.0000 2.5489
Ni 0.0000 0.0000 12.6904
Ni 0.0000 0.0000 17.8928
Sn 0.0000 0.0000 5.1609
Sn 0.0000 0.0000 15.2482
```

---

(16)
A plane-wave DFT calculation with PBE was carried out for crystalline Na2CdNiSe4 at its relaxed geometry.

Summary:
For the total energy, the calculation gives -3.34 eV/atom. The calculation puts the spin magnetization at 1.24 Bohr magnetons per cell.

Structure (extended XYZ):
```
8
Lattice="4.8063 -4.5481 0.0000 4.8063 4.5481 0.0000 -4.7868 0.0000 4.8106" Properties=species:S:1:pos:R:3 pbc="T T T"
Na 0.0000 0.0000 0.0000
Na 2.4130 -2.2821 2.4053
Cd 2.4130 2.2759 2.4053
Ni 4.8063 -0.0048 0.0000
Se 2.7346 0.9357 0.1473
Se -0.1342 -0.9377 2.7351
Se 2.0913 0.9357 4.6633
Se 4.9601 -0.9377 2.0755
```

---

(17)
A plane-wave DFT calculation with PBE was carried out for crystalline NdAlNi at its relaxed geometry.

Summary:
For the total energy, the calculation gives -5.21 eV/atom. The calculation puts the spin magnetization at 0.00 Bohr magnetons per cell.

Structure (extended XYZ):
```
9
Lattice="6.9834 0.0000 0.0000 -3.4917 6.0478 0.0000 0.0000 0.0000 4.0947" Properties=species:S:1:pos:R:3 pbc="T T T"
Nd -2.0306 3.5171 0.0000
Nd 1.4611 2.5307 0.0000
Nd 4.0612 0.0000 0.0000
Al -0.8001 1.3857 2.0473
Al 1.6001 0.0000 2.0473
Al 2.6916 4.6620 2.0473
Ni 0.0000 0.0000 0.0000
Ni 0.0000 4.0318 2.0473
Ni 3.4917 2.0159 2.0473
```

---

(18)
A plane-wave DFT calculation with PBE was carried out for crystalline HfScCuAs at its relaxed geometry.

Summary:
The energy above the lowest structure with this stoichiometry comes out at 0 meV/atom. The calculation puts the spin magnetization at 0.06 Bohr magnetons per cell.

Structure (extended XYZ):
```
4
Lattice="0.0000 3.3051 3.3051 3.3051 0.0000 3.3051 3.3051 3.3051 0.0000" Properties=species:S:1:pos:R:3 pbc="T T T"
Hf 0.0000 0.0000 0.0000
Sc 4.9576 4.9576 4.9576
Cu 3.3051 3.3051 3.3051
As 1.6526 1.6526 1.6526
```

---

(19)
A plane-wave DFT calculation with PBE was carried out for crystalline YHoAu at its relaxed geometry.

Summary:
The energy above the lowest structure with this stoichiometry comes out at 200 meV/atom. The calculation puts the spin magnetization at 0.04 Bohr magnetons per cell. As for the calculated formation energy: -1.367 eV per formula unit.

Structure (extended XYZ):
```
3
Lattice="0.0000 3.4891 3.4891 3.4891 0.0000 3.4891 3.4891 3.4891 0.0000" Properties=species:S:1:pos:R:3 pbc="T T T"
Y 0.0000 0.0000 0.0000
Ho 3.4891 3.4891 3.4891
Au 5.2337 5.2337 5.2337
```

---

(20)
A plane-wave DFT calculation with PBE was carried out for crystalline CoNiP4Pd2 at its relaxed geometry.

Summary:
For the total energy, the calculation gives -5.85 eV/atom. The calculation puts the spin magnetization at 0.03 Bohr magnetons per cell.

Structure (extended XYZ):
```
8
Lattice="3.4787 0.0000 0.0000 -1.7394 3.0127 0.0000 0.0000 0.0000 10.6610" Properties=species:S:1:pos:R:3 pbc="T T T"
Co 0.0000 0.0000 0.0000
Ni 0.0000 0.0000 5.3305
P 0.0000 2.0085 1.0140
P 0.0000 2.0085 4.2536
P 1.7394 1.0042 6.4075
P 1.7394 1.0042 9.6471
Pd 0.0000 0.0000 2.6301
Pd 0.0000 0.0000 8.0309
```

---

(21)
A plane-wave DFT calculation with PBE was carried out for crystalline Tm3Sc3FeBi2 at its relaxed geometry.

Summary:
The energy above the lowest structure with this stoichiometry comes out at 0 meV/atom. The calculation puts the spin magnetization at 0.52 Bohr magnetons per cell.

Structure (extended XYZ):
```
9
Lattice="7.9172 0.0000 0.0000 -3.9586 6.8565 0.0000 0.0000 0.0000 4.0981" Properties=species:S:1:pos:R:3 pbc="T T T"
Tm -2.4473 4.2389 0.0000
Tm 1.5113 2.6177 0.0000
Tm 4.8946 0.0000 0.0000
Sc -0.8804 1.5248 2.0490
Sc 1.7607 0.0000 2.0490
Sc 3.0783 5.3317 2.0490
Fe 0.0000 0.0000 0.0000
Bi 0.0000 4.5710 2.0490
Bi 3.9586 2.2855 2.0490
```

---

(22)
A plane-wave DFT calculation with PBE was carried out for crystalline PuZr at its relaxed geometry.

Summary:
The calculation puts the spin magnetization at 5.49 Bohr magnetons per cell. As for the calculated formation energy: 2.146 eV per formula unit.

Structure (extended XYZ):
```
2
Lattice="0.0000 2.8033 2.8033 2.8033 0.0000 2.8033 2.8033 2.8033 0.0000" Properties=species:S:1:pos:R:3 pbc="T T T"
Pu 0.0000 0.0000 0.0000
Zr 2.8033 2.8033 2.8033
```

---

(23)
A plane-wave DFT calculation with PBE was carried out for crystalline TbNdCu6 at its relaxed geometry.

Summary:
The calculation puts the spin magnetization at 0.00 Bohr magnetons per cell. As for the calculated formation energy: -1.271 eV per formula unit.

Structure (extended XYZ):
```
8
Lattice="4.2952 0.0000 0.0000 0.0000 5.9820 0.0000 0.0000 0.0000 5.3547" Properties=species:S:1:pos:R:3 pbc="T T T"
Tb 0.0000 0.0000 0.0000
Nd 2.1476 2.9910 3.9688
Cu 0.0000 1.2471 2.6761
Cu 0.0000 2.9910 0.8838
Cu 0.0000 4.7349 2.6761
Cu 2.1476 0.0000 3.2093
Cu 2.1476 1.6664 1.2874
Cu 2.1476 4.3156 1.2874
```

---

(24)
A plane-wave DFT calculation with PBE was carried out for crystalline PrNi2H6 at its relaxed geometry.

Summary:
For the total energy, the calculation gives -4.40 eV/atom. The calculation puts the spin magnetization at 0.00 Bohr magnetons per cell.

Structure (extended XYZ):
```
9
Lattice="4.4334 0.0000 0.0000 -2.2167 3.8394 0.0000 0.0000 0.0000 4.2449" Properties=species:S:1:pos:R:3 pbc="T T T"
Pr 0.0000 0.0000 0.0000
Ni 0.0000 2.5596 2.1225
Ni 2.2167 1.2798 2.1225
H -1.1083 1.9197 1.1033
H -1.1083 1.9197 3.1416
H 2.2167 0.0000 1.1033
H 2.2167 0.0000 3.1416
H 1.1083 1.9197 1.1033
H 1.1083 1.9197 3.1416
```

---

(25)
A plane-wave DFT calculation with PBE was carried out for crystalline Li4Sn2IrPd at its relaxed geometry.

Summary:
For the total energy, the calculation gives -4.21 eV/atom. The calculation puts the spin magnetization at 0.00 Bohr magnetons per cell.

Structure (extended XYZ):
```
8
Lattice="4.4638 0.0000 0.0000 0.0000 4.4638 0.0000 0.0000 0.0000 6.2807" Properties=species:S:1:pos:R:3 pbc="T T T"
Li 0.0000 0.0000 0.0000
Li 0.0000 2.2319 1.5725
Li 2.2319 0.0000 4.7082
Li 2.2319 2.2319 3.1404
Sn 0.0000 2.2319 4.6599
Sn 2.2319 0.0000 1.6209
Ir 0.0000 0.0000 3.1404
Pd 2.2319 2.2319 0.0000
```

---

(26)
A plane-wave DFT calculation with PBE was carried out for crystalline LiCo at its relaxed geometry.

Summary:
For the total energy, the calculation gives -2.89 eV/atom. The calculation puts the spin magnetization at 3.72 Bohr magnetons per cell.

Structure (extended XYZ):
```
4
Lattice="3.6474 0.0000 0.0000 -1.8237 3.1587 0.0000 0.0000 0.0000 5.9446" Properties=species:S:1:pos:R:3 pbc="T T T"
Li 0.0000 2.1058 0.0000
Li 1.8237 1.0529 2.9723
Co 0.0000 2.1058 3.7076
Co 1.8237 1.0529 0.7353
```